Entry 1:
Mn5Fe4O12 PBE with a Hubbard U optimized geometry; crystal system = triclinic; symmetry = No. 2; DFT total energy = -7.172 eV per atom; relative energy among the computed polymorphs = 0 meV per atom
1.0
-5.376 2.689 -0.137
0.377 -5.854 1.738
2.122 4.606 13.998
Mn Fe O
10 8 24
direct
0.997 0.998 0.876
0.663 0.336 0.541
0.332 0.669 0.207
0.668 0.331 0.793
0.337 0.664 0.459
0.003 0.002 0.124
0.666 0.834 0.666
0.334 0.166 0.334
0.000 0.500 0.000
0.500 0.000 0.000
0.165 0.332 0.665
0.835 0.668 0.335
0.330 0.658 0.835
0.000 0.000 0.500
0.670 0.342 0.165
0.165 0.833 0.666
0.835 0.167 0.334
0.500 0.500 0.000
0.811 0.183 0.076
0.468 0.499 0.749
0.137 0.837 0.419
0.990 0.998 0.737
0.659 0.332 0.403
0.320 0.640 0.070
0.183 0.369 0.922
0.847 0.709 0.585
0.517 0.040 0.252
0.371 0.189 0.073
0.029 0.521 0.743
0.702 0.858 0.413
0.863 0.163 0.581
0.532 0.501 0.251
0.189 0.817 0.924
0.680 0.360 0.930
0.341 0.668 0.597
0.010 0.002 0.263
0.483 0.960 0.748
0.153 0.291 0.415
0.817 0.631 0.078
0.298 0.142 0.587
0.971 0.479 0.257
0.629 0.811 0.927

=====

Entry 2:
Mn3Fe3O8 PBE with a Hubbard U optimized geometry; crystal system = orthorhombic; symmetry = No. 44; DFT total energy = -6.962 eV per atom
1.0
6.044 -0.017 -0.026
-0.401 6.031 0.026
-2.777 -3.048 4.419
Mn Fe O
3 3 8
direct
0.625 0.375 0.250
0.998 0.998 0.000
0.125 0.375 0.750
0.625 0.874 0.250
0.250 0.750 0.500
0.625 0.375 0.750
0.382 0.611 0.229
0.415 0.138 0.277
0.834 0.613 0.221
0.861 0.138 0.723
0.868 0.139 0.270
0.382 0.154 0.771
0.868 0.598 0.730
0.392 0.613 0.779

=====

Entry 3:
MnFe2OsO8 PBE with a Hubbard U optimized geometry; crystal system = orthorhombic; symmetry = No. 65; DFT total energy = -6.767 eV per atom
1.0
4.477 -0.049 -0.003
-0.027 4.474 -0.005
0.004 0.006 5.995
Mn Fe Os O
1 2 1 8
direct
0.000 0.000 0.500
0.500 0.500 0.745
0.500 0.500 0.255
0.000 0.000 0.000
0.194 0.805 0.251
0.700 0.701 0.000
0.806 0.195 0.251
0.806 0.195 0.749
0.300 0.299 0.000
0.194 0.805 0.749
0.694 0.695 0.500
0.306 0.305 0.500

=====

Entry 4:
MnFeOs2O PBE with a Hubbard U optimized geometry; crystal system = tetragonal; symmetry = No. 123; DFT total energy = -5.152 eV per atom
1.0
-2.025 -2.209 -3.339
0.148 -3.848 2.457
-4.001 0.980 1.777
Mn Os Fe O
1 2 1 1
direct
0.000 0.500 0.000
0.000 0.000 0.500
0.500 0.000 0.000
0.000 0.000 0.000
0.500 0.500 0.500

=====

Entry 5:
MnFe2OsO6 PBE with a Hubbard U optimized geometry; crystal system = monoclinic; symmetry = No. 14; DFT total energy = -7.233 eV per atom
1.0
5.344 0.000 -0.046
0.000 5.357 0.000
-0.027 0.000 7.783
Mn Fe Os O
2 4 2 12
direct
0.500 0.000 0.000
0.000 0.500 0.500
0.987 0.964 0.261
0.487 0.536 0.761
0.013 0.036 0.739
0.513 0.464 0.239
0.500 0.000 0.500
0.000 0.500 0.000
0.316 0.660 0.052
0.816 0.840 0.552
0.684 0.340 0.948
0.184 0.160 0.448
0.352 0.691 0.421
0.852 0.809 0.921
0.648 0.309 0.579
0.148 0.191 0.079
0.884 0.592 0.234
0.384 0.908 0.734
0.116 0.408 0.766
0.616 0.092 0.266

=====

Entry 6:
MnFe2P2O18 PBE with a Hubbard U optimized geometry; crystal system = triclinic; symmetry = No. 2; DFT total energy = -5.883 eV per atom; relative energy among the computed polymorphs = 217 meV per atom
1.0
5.332 0.022 -0.045
-2.326 7.090 -0.292
-2.028 -2.465 9.282
Mn Fe P O
1 2 2 18
direct
0.000 0.000 0.000
0.500 0.000 0.500
0.500 0.500 0.500
0.011 0.899 0.674
0.989 0.101 0.326
0.807 0.010 0.665
0.193 0.990 0.335
0.863 0.682 0.576
0.137 0.318 0.424
0.114 0.902 0.836
0.886 0.098 0.164
0.738 0.001 0.371
0.262 0.999 0.629
0.626 0.306 0.558
0.374 0.694 0.442
0.920 0.547 0.249
0.080 0.453 0.751
0.200 0.268 0.030
0.800 0.732 0.970
0.231 0.901 0.108
0.769 0.099 0.892
0.834 0.408 0.737
0.166 0.592 0.263